[1]
{"formula": "NaAgPdF6", "functional": "PBE", "state": "optimized geometry", "lattice_angstrom": [[-0.755, 3.102, -4.699], [2.894, -4.882, -0.253], [-8.111, -4.714, -1.809]], "species": ["Na", "Na", "F", "F", "F", "F", "F", "F", "F", "F", "F", "F", "F", "F", "Pd", "Pd", "Ag", "Ag"], "frac_coords": [[0.333, 0.667, 0.250], [0.667, 0.333, 0.750], [0.954, 0.331, 0.134], [0.331, 0.954, 0.634], [0.954, 0.623, 0.366], [0.046, 0.377, 0.634], [0.669, 0.623, 0.134], [0.623, 0.669, 0.634], [0.623, 0.954, 0.866], [0.331, 0.377, 0.866], [0.377, 0.331, 0.366], [0.669, 0.046, 0.366], [0.046, 0.669, 0.866], [0.377, 0.046, 0.134], [0.667, 0.333, 0.250], [0.333, 0.667, 0.750], [0.000, 0.000, 0.500], [0.000, 0.000, 0.000]], "e_form_raw_mev_per_atom": -1648, "spacegroup": "P-31c"}

---

[2]
{"formula": "Rb2CaPdCl6", "functional": "PBE", "state": "optimized geometry", "lattice_angstrom": [[7.423, 0.000, 0.000], [0.000, 7.423, 0.000], [3.712, 3.712, 5.251]], "species": ["Rb", "Rb", "Cl", "Cl", "Cl", "Cl", "Cl", "Cl", "Ca", "Pd"], "frac_coords": [[0.750, 0.250, 0.500], [0.250, 0.750, 0.500], [0.242, 0.758, 0.000], [0.242, 0.242, 0.000], [0.758, 0.758, 0.484], [0.758, 0.242, 0.000], [0.242, 0.242, 0.516], [0.758, 0.758, 0.000], [0.500, 0.500, 0.000], [0.000, 0.000, 0.000]], "e_form_raw_mev_per_atom": -1583, "spacegroup": "Fm-3m"}

---

[3]
{"formula": "RbHg2I", "functional": "PBE", "state": "optimized geometry", "lattice_angstrom": [[7.598, 0.000, 0.000], [0.000, 7.149, 0.000], [-3.228, 0.000, 6.377]], "species": ["Hg", "Hg", "Hg", "Hg", "Rb", "Rb", "I", "I"], "frac_coords": [[0.701, 0.249, 0.254], [0.701, 0.751, 0.254], [0.701, 0.749, 0.754], [0.701, 0.251, 0.754], [0.160, 0.500, 0.233], [0.160, 0.000, 0.733], [0.243, 0.500, 0.774], [0.243, 0.000, 0.274]], "e_form_raw_mev_per_atom": -664, "spacegroup": "Cm", "e_above_lowest_polymorph_mev_per_atom": 40}

---

[4]
{"formula": "Cs2Na2TlHg", "functional": "PBE", "state": "optimized geometry", "lattice_angstrom": [[8.380, 0.000, 0.000], [0.000, 8.337, 0.000], [-4.190, -4.169, 8.748]], "species": ["Tl", "Tl", "Hg", "Hg", "Na", "Na", "Na", "Na", "Cs", "Cs", "Cs", "Cs"], "frac_coords": [[0.250, 0.000, 0.000], [0.750, 0.000, 0.000], [0.750, 0.500, 0.000], [0.250, 0.500, 0.000], [0.074, 0.818, 0.148], [0.574, 0.330, 0.148], [0.926, 0.182, 0.852], [0.426, 0.670, 0.852], [0.343, 0.096, 0.686], [0.157, 0.410, 0.314], [0.843, 0.590, 0.686], [0.657, 0.904, 0.314]], "spacegroup": "Ibam", "e_form_ev_per_atom": -0.075}

---

[5]
{"formula": "SrCu2Ni", "functional": "PBE", "state": "optimized geometry", "lattice_angstrom": [[-4.752, 1.876, 1.635], [-3.182, -3.617, 2.360], [4.778, 2.422, 0.289]], "species": ["Sr", "Cu", "Cu", "Ni"], "frac_coords": [[0.250, 0.750, 0.500], [0.540, 0.540, 0.000], [0.960, 0.960, 0.000], [0.750, 0.250, 0.500]], "spacegroup": "Immm", "e_form_ev_per_atom": 0.270}

---

[6]
{"formula": "LiSc2Ag", "functional": "PBE", "state": "optimized geometry", "lattice_angstrom": [[-1.894, 2.356, -1.726], [-3.899, -1.291, 2.516], [1.062, 3.302, 3.341]], "species": ["Sc", "Sc", "Li", "Ag"], "frac_coords": [[0.000, 0.500, 0.000], [0.000, 0.000, 0.500], [0.500, 0.000, 0.000], [0.500, 0.500, 0.500]], "spacegroup": "P4/mmm", "e_form_ev_per_atom": -0.074}

---

[7]
{"formula": "Ta2TlAg", "functional": "PBE", "state": "optimized geometry", "lattice_angstrom": [[-3.465, 0.520, -0.351], [-0.605, -2.239, 2.650], [0.306, 4.851, 4.167]], "species": ["Ag", "Ta", "Ta", "Tl"], "frac_coords": [[0.500, 0.500, 0.756], [0.000, 0.000, 0.021], [0.500, 0.500, 0.217], [0.000, 0.000, 0.506]], "spacegroup": "P4mm", "e_form_ev_per_atom": 0.408}

---

[8]
{"formula": "MgH8C2S2N2O4", "functional": "PBE", "state": "optimized geometry", "lattice_angstrom": [[9.099, 0.000, 0.000], [0.000, 7.609, 0.076], [0.000, 3.491, 7.240]], "species": ["H", "H", "H", "H", "H", "H", "H", "H", "H", "H", "H", "H", "H", "H", "H", "H", "O", "O", "O", "O", "O", "O", "O", "O", "C", "C", "C", "C", "S", "S", "S", "S", "N", "N", "N", "N", "Mg", "Mg"], "frac_coords": [[0.698, 0.819, 0.867], [0.945, 0.840, 0.760], [0.459, 0.106, 0.215], [0.445, 0.660, 0.240], [0.618, 0.552, 0.678], [0.382, 0.448, 0.322], [0.041, 0.606, 0.215], [0.302, 0.181, 0.133], [0.055, 0.160, 0.240], [0.541, 0.894, 0.785], [0.118, 0.948, 0.322], [0.198, 0.681, 0.133], [0.959, 0.394, 0.785], [0.882, 0.052, 0.678], [0.555, 0.340, 0.760], [0.802, 0.319, 0.867], [0.406, 0.222, 0.124], [0.094, 0.722, 0.124], [0.906, 0.278, 0.876], [0.388, 0.571, 0.204], [0.612, 0.429, 0.796], [0.112, 0.071, 0.204], [0.594, 0.778, 0.876], [0.888, 0.929, 0.796], [0.710, 0.856, 0.270], [0.290, 0.144, 0.730], [0.210, 0.644, 0.730], [0.790, 0.356, 0.270], [0.560, 0.806, 0.396], [0.940, 0.306, 0.396], [0.440, 0.194, 0.604], [0.060, 0.694, 0.604], [0.683, 0.394, 0.179], [0.317, 0.606, 0.821], [0.817, 0.894, 0.179], [0.183, 0.106, 0.821], [0.500, 0.500, 0.000], [0.000, 0.000, 0.000]], "spacegroup": "P2_1/c", "dft_energy_ev_per_atom": -5.6129}